Entry 1:
Computed, not measured: a relaxed structure of NaLi2ZrS at the PBE level of DFT.

**Formation energy (no corrections)**: -0.32 eV per atom
**M_tot**: 0.00 μB/f.u.
**V**: 22.05 Å³/atom
**Calculated total energy**: -3.880 eV/atom

Lattice parameters (Å, degrees): 4.7145 4.9614 4.7145 90.00 90.00 90.00
Fractional coordinates of all 5 atoms:
Li 0.5000 0.0000 0.0000
S 0.0000 0.0000 0.0000
Na 0.5000 0.5000 0.5000
Zr 0.0000 0.5000 0.0000
Li 0.0000 0.0000 0.5000



Entry 2:
Computed, not measured: a relaxed structure of Ca2In2Pb at the PBE level of DFT.

**M_tot**: 0.00 μB/f.u.
**V**: 30.10 Å³/atom
**Calculated total energy**: -2.988 eV/atom
**E_form**: -33.82 kJ per mole of atoms

Lattice parameters (Å, degrees): 8.7066 8.7066 3.9710 90.00 90.00 90.00
Fractional coordinates of all 10 atoms:
In 0.1220 0.3780 0.0000
In 0.6220 0.1220 0.0000
In 0.3780 0.8780 0.0000
Ca 0.6759 0.8241 0.5000
Ca 0.3241 0.1759 0.5000
Ca 0.8241 0.3241 0.5000
In 0.8780 0.6220 0.0000
Pb 0.5000 0.5000 0.0000
Ca 0.1759 0.6759 0.5000
Pb 0.0000 0.0000 0.0000



Entry 3:
Computed, not measured: a relaxed structure of KLaAu2Se at the PBE level of DFT.

**Formation energy (no corrections)**: 0.28 eV per atom
**M_tot**: 0.21 μB/f.u.
**V**: 49.32 Å³/atom
**Calculated total energy**: -2.930 eV/atom

Lattice parameters (Å, degrees): 5.4762 8.2231 5.4762 90.00 90.00 90.00
Each line ends with the local moment (μB).
Fractional coordinates of all 5 atoms:
K 0.0000 0.5000 0.0000  0.00
La 0.0000 0.0000 0.0000  -0.08
Se 0.5000 0.5000 0.5000  0.26
Au 0.5000 0.0000 0.0000  -0.01
Au 0.0000 0.0000 0.5000  0.00



Entry 4:
Computed, not measured: a relaxed structure of Ti2NiRu2 at the PBE level of DFT.

**M_tot**: 0.00 μB/f.u.
**V**: 14.96 Å³/atom
**Calculated total energy**: -8.232 eV/atom
**E_form**: -20.03 kJ per mole of atoms

Lattice parameters (Å, degrees): 6.8047 6.8047 3.2299 90.00 90.00 90.00
Fractional coordinates of all 10 atoms:
Ru 0.1397 0.3603 0.0000
Ti 0.3335 0.1665 0.5000
Ni 0.0000 0.0000 0.0000
Ti 0.6665 0.8335 0.5000
Ru 0.8603 0.6397 0.0000
Ti 0.8335 0.3335 0.5000
Ru 0.3603 0.8603 0.0000
Ru 0.6397 0.1397 0.0000
Ti 0.1665 0.6665 0.5000
Ni 0.5000 0.5000 0.0000



Entry 5:
Computed, not measured: a relaxed structure of Er3In2Ir at the PBE level of DFT.

**M_tot**: 0.00 μB/f.u.
**V**: 23.83 Å³/atom
**Calculated total energy**: -5.270 eV/atom
**E_form**: -57.81 kJ per mole of atoms

Lattice parameters (Å, degrees): 5.0315 8.0116 7.4723 90.00 90.00 71.70
Fractional coordinates of all 12 atoms:
In 0.3347 0.3305 0.5000
Er 0.5000 0.0000 0.2368
Er 0.1762 0.6476 0.7822
Er 0.8238 0.3524 0.2178
Er 0.8238 0.3524 0.7822
In 0.0000 0.0000 0.0000
In 0.0000 0.0000 0.5000
Ir 0.3491 0.3018 0.0000
Ir 0.6509 0.6982 0.0000
In 0.6653 0.6695 0.5000
Er 0.1762 0.6476 0.2178
Er 0.5000 0.0000 0.7632



Entry 6:
Computed, not measured: a relaxed structure of SrHfPRu2 at the PBE level of DFT.

**M_tot**: 0.00 μB/f.u.
**V**: 22.71 Å³/atom
**Calculated total energy**: -5.138 eV/atom
**E_form**: 191.20 kJ per mole of atoms

Lattice parameters (Å, degrees): 4.6760 5.1935 4.6760 90.00 90.00 90.00
Fractional coordinates of all 5 atoms:
Ru 0.0000 0.0000 0.5000
Sr 0.0000 0.0000 0.0000
P 0.0000 0.5000 0.0000
Hf 0.5000 0.5000 0.5000
Ru 0.5000 0.0000 0.0000



Entry 7:
Computed, not measured: a relaxed structure of Sr2HPd6Pb at the PBE level of DFT.

**M_tot**: 0.00 μB/f.u.
**V**: 19.53 Å³/atom
**Calculated total energy**: -4.625 eV/atom

Lattice parameters (Å, degrees): 5.9413 7.2315 5.9435 66.01 60.01 90.00
Fractional coordinates of all 10 atoms:
Pd 0.2790 0.3296 0.9461
Pd 0.7754 0.3299 0.9458
Sr 0.2705 0.8142 0.4589
Pd 0.2246 0.6701 0.0542
Sr 0.7295 0.1858 0.5411
H 0.5000 0.5000 0.0000
Pd 0.2777 0.3281 0.4448
Pd 0.7210 0.6704 0.0539
Pd 0.7223 0.6718 0.5552
Pb 0.0000 0.0000 0.0000



Entry 8:
Computed, not measured: a relaxed structure of Ac4Pm3Er2 at the PBE level of DFT.

**M_tot**: 0.00 μB/f.u.
**V**: 38.13 Å³/atom
**Calculated total energy**: -4.401 eV/atom
**E_form**: 2.14 kJ per mole of atoms

Lattice parameters (Å, degrees): 5.9572 5.9529 11.1778 89.98 90.00 59.98
Fractional coordinates of all 9 atoms:
Ac 0.0010 0.9982 0.3330
Pm 0.0000 0.0000 0.0000
Pm 0.6684 0.6632 0.5055
Er 0.3317 0.3364 0.8244
Pm 0.3316 0.3368 0.4945
Ac 0.9990 0.0018 0.6670
Ac 0.3339 0.3324 0.1548
Er 0.6683 0.6636 0.1756
Ac 0.6661 0.6676 0.8452



Entry 9:
Computed, not measured: a relaxed structure of Os5Rh7 at the PBE level of DFT.

**M_tot**: 0.00 μB/f.u.
**V**: 14.21 Å³/atom
**Calculated total energy**: -8.922 eV/atom
**E_form**: 4.40 kJ per mole of atoms

Lattice parameters (Å, degrees): 3.8441 5.4317 8.6056 108.40 90.00 90.00
Fractional coordinates of all 12 atoms:
Os 0.0000 0.5000 0.5000
Rh 0.0000 0.6725 0.8339
Rh 0.5000 0.6708 0.3415
Rh 0.0000 0.1614 0.8339
Os 0.5000 0.8334 0.6669
Os 0.5000 0.1666 0.3331
Rh 0.5000 0.5000 0.0000
Os 0.5000 0.0000 0.0000
Os 0.0000 0.0000 0.5000
Rh 0.0000 0.8386 0.1661
Rh 0.0000 0.3275 0.1661
Rh 0.5000 0.3292 0.6585



Entry 10:
Computed, not measured: a relaxed structure of NaPd3S2 at the PBE level of DFT.

**Formation energy (no corrections)**: -0.40 eV per atom
**M_tot**: 0.00 μB/f.u.
**V**: 18.10 Å³/atom
**Calculated total energy**: -4.589 eV/atom

Lattice parameters (Å, degrees): 3.8877 7.6880 8.2774 113.97 90.00 104.65
Fractional coordinates of all 12 atoms:
Pd 0.3169 0.6337 0.6074
S 0.4893 0.9786 0.7985
Pd 0.0397 0.0795 0.3712
Na 0.1414 0.2827 0.0451
Na 0.8586 0.7173 0.9549
Pd 0.9603 0.9205 0.6288
S 0.7910 0.5820 0.2557
Pd 0.6077 0.2153 0.6531
S 0.5107 0.0214 0.2015
S 0.2090 0.4180 0.7443
Pd 0.3923 0.7847 0.3469
Pd 0.6831 0.3663 0.3926



Entry 11:
Computed, not measured: a relaxed structure of GaOs3Pd at the PBE level of DFT.

**M_tot**: 5.41 μB/f.u.
**V**: 21.50 Å³/atom
**Calculated total energy**: -5.763 eV/atom
**E_form**: 252.67 kJ per mole of atoms

Lattice parameters (Å, degrees): 4.7552 4.7552 4.7552 90.00 90.00 90.00
Each line ends with the local moment (μB).
Fractional coordinates of all 5 atoms:
Os 0.0000 0.0000 0.5000  2.19
Pd 0.0000 0.0000 0.0000  0.51
Os 0.0000 0.5000 0.0000  1.46
Ga 0.5000 0.5000 0.5000  -0.02
Os 0.5000 0.0000 0.0000  1.06



Entry 12:
Computed, not measured: a relaxed structure of Pm3Dy12Zr at the PBE level of DFT.

**M_tot**: 0.00 μB/f.u.
**V**: 31.30 Å³/atom
**Calculated total energy**: -4.840 eV/atom
**E_form**: 3.54 kJ per mole of atoms

Lattice parameters (Å, degrees): 5.0032 5.0032 20.0071 90.00 90.00 90.00
Fractional coordinates of all 16 atoms:
Dy 0.5000 0.5000 0.5000
Dy 0.5000 0.0000 0.6275
Zr 0.0000 0.0000 0.0000
Dy 0.5000 0.5000 0.7544
Dy 0.0000 0.5000 0.1165
Dy 0.0000 0.5000 0.6275
Dy 0.5000 0.5000 0.2456
Dy 0.5000 0.0000 0.1165
Dy 0.0000 0.5000 0.8835
Dy 0.0000 0.5000 0.3725
Dy 0.5000 0.5000 0.0000
Pm 0.0000 0.0000 0.7528
Dy 0.5000 0.0000 0.3725
Dy 0.5000 0.0000 0.8835
Pm 0.0000 0.0000 0.2472
Pm 0.0000 0.0000 0.5000



Entry 13:
Computed, not measured: a relaxed structure of InGaSn2Os at the PBE level of DFT.

**M_tot**: 1.58 μB/f.u.
**V**: 31.16 Å³/atom
**Calculated total energy**: -3.596 eV/atom
**E_form**: 135.44 kJ per mole of atoms

Lattice parameters (Å, degrees): 5.5464 5.0646 5.5464 90.00 90.00 90.00
Each line ends with the local moment (μB).
Fractional coordinates of all 5 atoms:
Ga 0.5000 0.5000 0.5000  -0.01
Os 0.0000 0.5000 0.0000  1.43
Sn 0.0000 0.0000 0.5000  0.01
Sn 0.5000 0.0000 0.0000  -0.02
In 0.0000 0.0000 0.0000  -0.02



Entry 14:
Computed, not measured: a relaxed structure of RbCo at the PBE level of DFT.

**M_tot**: 1.74 μB/f.u.
**V**: 38.10 Å³/atom
**Calculated total energy**: -3.268 eV/atom
**E_form**: 74.17 kJ per mole of atoms

Lattice parameters (Å, degrees): 12.5535 3.7846 9.6223 90.00 90.00 90.00
Each line ends with the local moment (μB).
Fractional coordinates of all 12 atoms:
Rb 0.3174 0.7448 0.7495  -0.01
Rb 0.0000 0.7407 0.8555  -0.02
Rb 0.8174 0.2552 0.2495  -0.01
Co 0.0885 0.2406 0.5749  1.83
Co 0.9115 0.2406 0.5749  1.83
Rb 0.6826 0.7448 0.7495  -0.01
Co 0.5000 0.2591 0.9977  1.75
Rb 0.5000 0.2593 0.3555  -0.02
Co 0.5885 0.7594 0.0749  1.83
Co 0.4115 0.7594 0.0749  1.83
Co 0.0000 0.7409 0.4977  1.75
Rb 0.1826 0.2552 0.2495  -0.01



Entry 15:
Computed, not measured: a relaxed structure of CuPt2PbSe at the PBE level of DFT.

**Formation energy (no corrections)**: 0.26 eV per atom
**M_tot**: 0.00 μB/f.u.
**V**: 21.46 Å³/atom
**Calculated total energy**: -4.412 eV/atom

Lattice parameters (Å, degrees): 4.8926 4.4833 4.8926 90.00 90.00 90.00
Fractional coordinates of all 5 atoms:
Pb 0.5000 0.5000 0.5000
Cu 0.0000 0.5000 0.0000
Pt 0.5000 0.0000 0.0000
Se 0.0000 0.0000 0.0000
Pt 0.0000 0.0000 0.5000



Entry 16:
Computed, not measured: a relaxed structure of ReHgBr2 at the PBE level of DFT.

**Formation energy (no corrections)**: 0.75 eV per atom
**M_tot**: 0.00 μB/f.u.
**V**: 24.72 Å³/atom
**Calculated total energy**: -3.274 eV/atom

Lattice parameters (Å, degrees): 3.2045 3.2038 9.6304 90.00 90.00 90.00
Fractional coordinates of all 4 atoms:
Re 0.5000 0.5000 0.7500
Br 0.0000 0.0000 0.5884
Br 0.0000 0.0000 0.9116
Hg 0.5000 0.5000 0.2500



Entry 17:
Computed, not measured: a relaxed structure of Ba2MnBe at the PBE level of DFT.

**M_tot**: 3.50 μB/f.u.
**V**: 36.09 Å³/atom
**Calculated total energy**: -3.309 eV/atom
**E_form**: 84.59 kJ per mole of atoms

Lattice parameters (Å, degrees): 4.4881 4.4881 9.2731 80.06 80.06 51.96
Each line ends with the local moment (μB).
Fractional coordinates of all 4 atoms:
Ba 0.4926 0.4926 0.5103  -0.10
Be 0.7500 0.7500 0.7500  -0.02
Ba 0.0074 0.0074 0.9897  -0.10
Mn 0.2500 0.2500 0.2500  3.98



Entry 18:
Computed, not measured: a relaxed structure of Pr3NdDy3 at the PBE level of DFT.

**M_tot**: 0.00 μB/f.u.
**V**: 35.57 Å³/atom
**Calculated total energy**: -4.510 eV/atom
**E_form**: 18.55 kJ per mole of atoms

Lattice parameters (Å, degrees): 9.0014 9.0014 9.0014 58.49 58.49 58.49
Fractional coordinates of all 14 atoms:
Pr 0.0713 0.7188 0.5655
Dy 0.1733 0.9371 0.7153
Nd 0.6555 0.6555 0.6555
Nd 0.3445 0.3445 0.3445
Dy 0.9371 0.7153 0.1733
Pr 0.9287 0.2812 0.4345
Pr 0.4345 0.9287 0.2812
Pr 0.7188 0.5655 0.0713
Dy 0.7153 0.1733 0.9371
Dy 0.0629 0.2847 0.8267
Pr 0.2812 0.4345 0.9287
Dy 0.2847 0.8267 0.0629
Pr 0.5655 0.0713 0.7188
Dy 0.8267 0.0629 0.2847



Entry 19:
Computed, not measured: a relaxed structure of Th2In3Hg6Pb at the PBE level of DFT.

**M_tot**: 0.00 μB/f.u.
**V**: 36.62 Å³/atom
**Calculated total energy**: -2.214 eV/atom
**E_form**: 16.15 kJ per mole of atoms

Lattice parameters (Å, degrees): 4.5495 4.5495 21.2293 90.00 90.00 90.00
Fractional coordinates of all 12 atoms:
Hg 0.5000 0.0000 0.3936
Hg 0.0000 0.0000 0.8642
In 0.0000 0.0000 0.2701
In 0.0000 0.0000 0.7299
Th 0.5000 0.5000 0.2845
In 0.0000 0.0000 0.0000
Pb 0.5000 0.5000 0.5000
Hg 0.0000 0.5000 0.3936
Hg 0.0000 0.5000 0.6064
Hg 0.0000 0.0000 0.1358
Th 0.5000 0.5000 0.7155
Hg 0.5000 0.0000 0.6064



Entry 20:
Computed, not measured: a relaxed structure of Li6ZnCd2 at the PBE level of DFT.

**M_tot**: 0.00 μB/f.u.
**V**: 17.21 Å³/atom
**Calculated total energy**: -1.792 eV/atom
**E_form**: -16.53 kJ per mole of atoms

Lattice parameters (Å, degrees): 5.3976 5.3980 5.3980 95.56 84.46 84.46
Fractional coordinates of all 9 atoms:
Cd 0.3263 0.6730 0.6730
Li 0.1661 0.1658 0.5001
Li 0.8339 0.8342 0.4999
Li 0.5000 0.8344 0.1656
Li 0.1661 0.5001 0.1658
Cd 0.6737 0.3270 0.3270
Li 0.8339 0.4999 0.8342
Zn 0.0000 0.0000 0.0000
Li 0.5000 0.1656 0.8344